Here is an optimized crystal structure of MnCr2TeO8 from the Alexandria database. Energies are from GGA+U.

Output
theoretical density = 5.337 Mg/m³
final energy = -6.905 eV/atom
density of states at the Fermi level = 7.468 states/eV per cell

a b c (Å): 6.3927 6.5690 6.1423
angles (deg): 90.00 90.00 90.00
Closest atoms and distances in Å follow each position.
Space group Cmmm (No. 65)
Asymmetric unit:
1 Mn 0.0000 0.0000 0.0000 (multiplicity 2)  6 O 1.93-2.02
2 Cr 0.0000 0.5000 0.2440 (multiplicity 4)  6 O 1.96-2.02
3 Te 0.0000 0.0000 0.5000 (multiplicity 2)  6 O 1.93-1.96
4 O 0.0000 0.1919 0.2562 (multiplicity 8)  1 Te 1.96, 1 Mn 2.02, 1 Cr 2.02
5 O 0.1974 0.5000 0.5000 (multiplicity 4)  1 Te 1.93, 2 Cr 2.02
6 O 0.1984 0.5000 0.0000 (multiplicity 4)  1 Mn 1.93, 2 Cr 1.96